(1)
A plane-wave DFT calculation with GGA-PBE was carried out for SrBe3Re after structural relaxation.

Output
* calculated formation energy: 0.44 eV per atom
* E above lowest polymorph: 0 meV/atom
* M_tot: 0.0 μB per formula unit
* density of states at the Fermi level: 2.88 states/eV per cell
* mass density: 5.61 Mg/m³

POSCAR file:
```
SrBe3Re
1.0
4.465 0.000 0.000
0.000 4.465 0.000
0.000 0.000 4.465
Sr Be Re
1 3 1
direct
0.000 0.000 0.000
0.000 0.500 0.500
0.500 0.000 0.500
0.500 0.500 0.000
0.500 0.500 0.500
```

***

(2)
A plane-wave DFT calculation with GGA-PBE was carried out for SrBeRe3 after structural relaxation.

Output
* calculated formation energy: 1.19 eV per atom
* E above lowest polymorph: 0 meV/atom
* M_tot: 0.0 μB per formula unit
* density of states at the Fermi level: 5.67 states/eV per cell
* mass density: 12.76 Mg/m³

POSCAR file:
```
SrBeRe3
1.0
4.402 0.000 0.000
0.000 4.402 0.000
0.000 0.000 4.402
Sr Be Re
1 1 3
direct
0.000 0.000 0.000
0.500 0.500 0.500
0.000 0.500 0.500
0.500 0.000 0.500
0.500 0.500 0.000
```

***

(3)
A plane-wave DFT calculation with GGA-PBE was carried out for SrBe4Re after structural relaxation.

Output
* calculated formation energy: 0.55 eV per atom
* M_tot: 2.2 μB per formula unit
* density of states at the Fermi level: 4.17 states/eV per cell
* mass density: 6.50 Mg/m³

POSCAR file:
```
SrBe4Re
1.0
0.000 3.408 3.408
3.408 0.000 3.408
3.408 3.408 0.000
Sr Be Re
1 4 1
direct
0.000 0.000 0.000
0.145 0.618 0.618
0.618 0.145 0.618
0.618 0.618 0.145
0.618 0.618 0.618
0.250 0.250 0.250
```

***

(4)
A plane-wave DFT calculation with GGA-PBE was carried out for SrBeRe3 after structural relaxation.

Output
* calculated formation energy: 4.04 eV per atom
* E above lowest polymorph: 2840 meV/atom
* M_tot: 2.4 μB per formula unit
* density of states at the Fermi level: 6.66 states/eV per cell
* mass density: 9.91 Mg/m³

POSCAR file:
```
SrBeRe3
1.0
4.789 0.000 0.000
0.000 4.789 0.000
0.000 0.000 4.789
Sr Be Re
1 1 3
direct
0.000 0.000 0.000
0.500 0.500 0.500
0.000 0.000 0.500
0.000 0.500 0.000
0.500 0.000 0.000
```

***

- Number 3 is which compound?
  SrBe4Re

***

- What is the formula in the second record?
  SrBeRe3

***

- Which value of density of states at the Fermi level does entry 1 give?
  2.88 states/eV per cell

***

- Which of these has the lowest calculated formation energy?
  SrBe3Re